No. 1
! Ho2LuMg | Alexandria via LeMat-Bulk | PBE | optimized geometry; values from VASP
! E_tot   -15.3 eV for the cell shown
! DOS(E_F)   1.360 states/eV/atom
! Excess energy over the best structure of this formula in the dataset   0 meV per atom
! Formation energy from the elements   -2 kJ per mole of atoms
! Total magnetization   0.0 μB/f.u.
! Symmetry   P4/mmm
&SYSTEM
  ibrav = 0, nat = 4, ntyp = 3
/
ATOMIC_SPECIES
Mg 24.30 Mg.upf
Lu 174.97 Lu.upf
Ho 164.93 Ho.upf
ATOMIC_POSITIONS angstrom
Mg 1.7664 1.7664 0.0000
Lu 1.7664 1.7664 4.6203
Ho 0.0000 0.0000 7.0159
Ho 0.0000 0.0000 2.2246
CELL_PARAMETERS angstrom
3.5327 0.0000 0.0000
0.0000 3.5327 0.0000
0.0000 0.0000 9.2405


No. 2
! Ho2LuMg | Alexandria via LeMat-Bulk | PBE | optimized geometry; values from VASP
! E_tot   -15.1 eV for the cell shown
! DOS(E_F)   1.434 states/eV/atom
! Excess energy over the best structure of this formula in the dataset   57 meV per atom
! Formation energy from the elements   4 kJ per mole of atoms
! Total magnetization   0.0 μB/f.u.
! Symmetry   P4/mmm
&SYSTEM
  ibrav = 0, nat = 4, ntyp = 3
/
ATOMIC_SPECIES
Mg 24.30 Mg.upf
Lu 174.97 Lu.upf
Ho 164.93 Ho.upf
ATOMIC_POSITIONS angstrom
Mg -0.8109 -4.1629 0.6213
Lu -1.5637 -0.4831 1.1454
Ho 1.4948 -1.8292 1.2692
Ho -0.7419 -1.8506 -1.7933
CELL_PARAMETERS angstrom
-3.1274 -0.9661 2.2909
-1.4838 -3.7012 -3.5866
2.9896 -3.6584 2.5384